The following is a DFT calculation (PBE with a Hubbard U) of crystalline CdFeO3 at its relaxed geometry.

For the total energy, the calculation gives -5.1444 eV per atom.

Unit cell a=3.790 b=3.790 c=3.790 alpha=90.00 beta=90.00 gamma=90.00
Space group Pm-3m (No. 221)
Symmetry-distinct sites (fractional):
Cd: 0.000 0.000 0.000 (multiplicity 1)
Fe: 0.500 0.500 0.500 (multiplicity 1)
O: 0.000 0.500 0.500 (multiplicity 3)